CsMnSe2 GGA-PBE relaxed; energy relative to the elements, uncorrected = 76 meV/atom; crystal system = cubic
1.0
0.000 3.797 3.797
3.797 0.000 3.797
3.797 3.797 0.000
Se Cs Mn
2 1 1
Cartesian
5.695 5.695 5.695 Se
1.898 1.898 1.898 Se
3.797 3.797 3.797 Cs
0.000 0.000 0.000 Mn